A geometry-optimized HfBi3Pt structure, computed with PBE.

## Properties
Energy relative to the elements, eV/atom: 0.81
E above lowest polymorph, kJ per mole of atoms: 16.2
DFT total energy, eV/atom: -4.715
Total magnetic moment, μB per formula unit: 0.00

a b c (Å): 5.528 5.528 5.528
angles (deg): 90.00 90.00 90.00
Space group Pm-3m (No. 221)
Symmetry-distinct sites (fractional):
Hf (0.000, 0.000, 0.000) (multiplicity 1)
Bi (0.000, 0.000, 0.500) (multiplicity 3)
Pt (0.500, 0.500, 0.500) (multiplicity 1)